Entry 1:
## EuBiPb (GGA-PBE)

Data for a geometry-optimized EuBiPb structure.

The structure in CIF format:
```
data_EuBiPb
_symmetry_space_group_name_H-M 'I 4 m m'
_symmetry_Int_Tables_number 107
_symmetry_space_group_name_Hall 'I 4 -2'
_cell_length_a 4.577
_cell_length_b 4.577
_cell_length_c 9.718
_cell_angle_alpha 90.00
_cell_angle_beta 90.00
_cell_angle_gamma 90.00
loop_
_atom_site_label
_atom_site_type_symbol
_atom_site_fract_x
_atom_site_fract_y
_atom_site_fract_z
Eu1 Eu 0.000 0.000 0.000
Bi1 Bi 0.000 0.000 0.352
Pb1 Pb 0.000 0.000 0.661
```

For the energy relative to the elements, the calculation gives -369 meV per atom.

=====

Entry 2:
## Na3Nd2HoTe6 (GGA-PBE)

Data for a geometry-optimized Na3Nd2HoTe6 structure.

The structure in CIF format:
```
data_Na3Nd2HoTe6
_symmetry_space_group_name_H-M 'C 1 2/m 1'
_symmetry_Int_Tables_number 12
_symmetry_space_group_name_Hall '-C 2y'
_cell_length_a 7.803
_cell_length_b 13.519
_cell_length_c 8.006
_cell_angle_alpha 90.00
_cell_angle_beta 109.00
_cell_angle_gamma 90.00
loop_
_atom_site_label
_atom_site_type_symbol
_atom_site_fract_x
_atom_site_fract_y
_atom_site_fract_z
Na1 Na 0.000 0.000 0.000
Na2 Na 0.000 0.331 0.000
Nd1 Nd 0.000 0.166 0.500
Ho1 Ho 0.000 0.500 0.500
Te1 Te 0.241 0.337 0.736
Te2 Te 0.246 0.500 0.264
```

The uncorrected formation energy is -1529 kJ/mol of formula units.

=====

Entry 3:
## YHf2CdN (GGA-PBE)

Data for a geometry-optimized YHf2CdN structure.

The structure in CIF format:
```
data_YHf2CdN
_symmetry_space_group_name_H-M 'P 4/m m m'
_symmetry_Int_Tables_number 123
_symmetry_space_group_name_Hall '-P 4 2'
_cell_length_a 4.469
_cell_length_b 4.469
_cell_length_c 4.803
_cell_angle_alpha 90.00
_cell_angle_beta 90.00
_cell_angle_gamma 90.00
loop_
_atom_site_label
_atom_site_type_symbol
_atom_site_fract_x
_atom_site_fract_y
_atom_site_fract_z
Y1 Y 0.000 0.000 0.000
Hf1 Hf 0.000 0.500 0.500
Cd1 Cd 0.500 0.500 0.000
N1 N 0.000 0.000 0.500
```

The uncorrected formation energy is -356 kJ/mol of formula units.

=====

Entry 4:
## RbNa2NbAl (GGA-PBE)

Data for a geometry-optimized RbNa2NbAl structure.

The structure in CIF format:
```
data_RbNa2NbAl
_symmetry_space_group_name_H-M 'P 4/m m m'
_symmetry_Int_Tables_number 123
_symmetry_space_group_name_Hall '-P 4 2'
_cell_length_a 5.366
_cell_length_b 5.366
_cell_length_c 5.973
_cell_angle_alpha 90.00
_cell_angle_beta 90.00
_cell_angle_gamma 90.00
loop_
_atom_site_label
_atom_site_type_symbol
_atom_site_fract_x
_atom_site_fract_y
_atom_site_fract_z
Rb1 Rb 0.000 0.000 0.000
Na1 Na 0.000 0.500 0.000
Nb1 Nb 0.500 0.500 0.500
Al1 Al 0.000 0.000 0.500
```

For the energy relative to the elements, the calculation gives 1665 meV per atom.

=====

Entry 5:
## BaLaZrV2 (GGA-PBE)

Data for a geometry-optimized BaLaZrV2 structure.

The structure in CIF format:
```
data_BaLaZrV2
_symmetry_space_group_name_H-M 'P 4/m m m'
_symmetry_Int_Tables_number 123
_symmetry_space_group_name_Hall '-P 4 2'
_cell_length_a 5.024
_cell_length_b 5.024
_cell_length_c 5.820
_cell_angle_alpha 90.00
_cell_angle_beta 90.00
_cell_angle_gamma 90.00
loop_
_atom_site_label
_atom_site_type_symbol
_atom_site_fract_x
_atom_site_fract_y
_atom_site_fract_z
Ba1 Ba 0.000 0.000 0.000
La1 La 0.500 0.500 0.000
Zr1 Zr 0.000 0.000 0.500
V1 V 0.000 0.500 0.500
```

For the energy relative to the elements, the calculation gives 1223 meV per atom.

=====

Entry 6:
## Cr2Fe2Si (GGA-PBE)

Data for a geometry-optimized Cr2Fe2Si structure.

The structure in CIF format:
```
data_Cr2Fe2Si
_symmetry_space_group_name_H-M 'I 4/m m m'
_symmetry_Int_Tables_number 139
_symmetry_space_group_name_Hall '-I 4 2'
_cell_length_a 3.630
_cell_length_b 3.630
_cell_length_c 9.571
_cell_angle_alpha 90.00
_cell_angle_beta 90.00
_cell_angle_gamma 90.00
loop_
_atom_site_label
_atom_site_type_symbol
_atom_site_fract_x
_atom_site_fract_y
_atom_site_fract_z
Cr1 Cr 0.000 0.500 0.250
Fe1 Fe 0.000 0.000 0.109
Si1 Si 0.000 0.000 0.500
```

The uncorrected formation energy is 197 kJ/mol of formula units.

=====

Entry 7:
## Sb2PtPb (GGA-PBE)

Data for a geometry-optimized Sb2PtPb structure.

The structure in CIF format:
```
data_Sb2PtPb
_symmetry_space_group_name_H-M 'C 1 2/m 1'
_symmetry_Int_Tables_number 12
_symmetry_space_group_name_Hall '-C 2y'
_cell_length_a 12.215
_cell_length_b 3.566
_cell_length_c 5.266
_cell_angle_alpha 90.00
_cell_angle_beta 114.99
_cell_angle_gamma 90.00
loop_
_atom_site_label
_atom_site_type_symbol
_atom_site_fract_x
_atom_site_fract_y
_atom_site_fract_z
Sb1 Sb 0.188 0.000 0.185
Pt1 Pt 0.000 0.500 0.000
Pb1 Pb 0.000 0.000 0.500
```

The uncorrected formation energy is -32 kJ/mol of formula units.

=====

Please write out number 6 again, unchanged.
## Cr2Fe2Si (GGA-PBE)

Data for a geometry-optimized Cr2Fe2Si structure.

The structure in CIF format:
```
data_Cr2Fe2Si
_symmetry_space_group_name_H-M 'I 4/m m m'
_symmetry_Int_Tables_number 139
_symmetry_space_group_name_Hall '-I 4 2'
_cell_length_a 3.630
_cell_length_b 3.630
_cell_length_c 9.571
_cell_angle_alpha 90.00
_cell_angle_beta 90.00
_cell_angle_gamma 90.00
loop_
_atom_site_label
_atom_site_type_symbol
_atom_site_fract_x
_atom_site_fract_y
_atom_site_fract_z
Cr1 Cr 0.000 0.500 0.250
Fe1 Fe 0.000 0.000 0.109
Si1 Si 0.000 0.000 0.500
```

The uncorrected formation energy is 197 kJ/mol of formula units.